Here is an optimized crystal structure of LiTlCuRe from OQMD via LeMat-Bulk. Energies are from PBE.

Calculated values
Calculated density (g cm⁻³): 11.8
Total moment (μB per formula unit): 1.73
Polymorph energy (0 for the lowest one) (eV/atom): 0.106
Raw total energy (eV/atom): -4.26
SG: No. 216

a b c (Å): 4.5147 4.5147 4.5147
angles (deg): 60.00 60.00 60.00
Closest atoms and distances in Å follow each position.
Positions (direct):
Li1 0.0000 0.0000 0.0000  4 Cu 2.76, 4 Re 2.76
Tl1 0.5000 0.5000 0.5000  4 Cu 2.76, 4 Re 2.76
Cu1 0.7500 0.7500 0.7500  4 Tl 2.76, 4 Li 2.76
Re1 0.2500 0.2500 0.2500  4 Tl 2.76, 4 Li 2.76

***

Here is an optimized crystal structure of Sm2TaInO6 from OQMD via LeMat-Bulk. Energies are from PBE.

Calculated values
Calculated density (g cm⁻³): 8.5
Total moment (μB per formula unit): 1.12
Raw total energy (eV/atom): -7.62
SG: No. 225

a b c (Å): 5.7530 5.7530 5.7530
angles (deg): 60.00 60.00 60.00
Closest atoms and distances in Å follow each position.
Positions (direct):
Sm1 0.2500 0.2500 0.2500  12 O 2.88
Sm2 0.7500 0.7500 0.7500  12 O 2.88
Ta1 0.0000 0.0000 0.0000  6 O 1.98
In1 0.5000 0.5000 0.5000  6 O 2.08
O1 0.2438 0.2438 0.7562  1 Ta 1.98, 1 In 2.08
O2 0.2438 0.7562 0.2438  1 Ta 1.98, 1 In 2.08
O3 0.2438 0.7562 0.7562  1 Ta 1.98, 1 In 2.08
O4 0.7562 0.2438 0.2438  1 Ta 1.98, 1 In 2.08
O5 0.7562 0.2438 0.7562  1 Ta 1.98, 1 In 2.08
O6 0.7562 0.7562 0.2438  1 Ta 1.98, 1 In 2.08